Entry from Alexandria: a geometry-optimized BaMn2F8 structure (GGA+U).

- volume (Å³ per cell) = 162.9
- uncorrected energy (eV/atom) = -5.4266
- space group = P4/mmm, No. 123

Unit cell a=5.0663 b=5.0663 c=6.3474 alpha=90.00 beta=90.00 gamma=90.00
Closest atoms and distances in Å follow each position.
Element x y z (fractional)
Ba: 0.0000 0.0000 0.0000  8 F 2.67
Mn: 0.0000 0.5000 0.5000  8 F 2.15
Mn: 0.5000 0.0000 0.5000  8 F 2.15
F: 0.2507 0.2507 0.3115  2 Mn 2.15, 1 F 2.39
F: 0.2507 0.2507 0.6885  2 Mn 2.15, 1 F 2.39
F: 0.2507 0.7493 0.3115  2 Mn 2.15, 1 F 2.39
F: 0.2507 0.7493 0.6885  2 Mn 2.15, 1 F 2.39
F: 0.7493 0.2507 0.3115  2 Mn 2.15, 1 F 2.39
F: 0.7493 0.2507 0.6885  2 Mn 2.15, 1 F 2.39
F: 0.7493 0.7493 0.3115  2 Mn 2.15, 1 F 2.39
F: 0.7493 0.7493 0.6885  2 Mn 2.15, 1 F 2.39